# 1
Material: Sb2P2C
Method: DFT, PBE
State: optimized geometry

Summary:
Energy above the most stable polymorph in this dataset, eV/atom: 0.000

a b c (Å): 3.2499 3.2499 18.0928
angles (deg): 90.00 90.00 90.00
Last column: nearest neighbours and their distance in Å.
Element x y z (fractional)
Sb1 0.0000 0.0000 0.0783  4 C 2.70, 1 Sb 2.83
Sb2 0.0000 0.0000 0.9217  4 C 2.70, 1 Sb 2.83
Sb3 0.5000 0.5000 0.4217  4 C 2.70, 1 Sb 2.83
Sb4 0.5000 0.5000 0.5783  4 C 2.70, 1 Sb 2.83
P1 0.0000 0.5000 0.2500  4 P 2.30
P2 0.0000 0.5000 0.7500  4 P 2.30
P3 0.5000 0.0000 0.2500  4 P 2.30
P4 0.5000 0.0000 0.7500  4 P 2.30
C1 0.0000 0.0000 0.5000  8 Sb 2.70
C2 0.5000 0.5000 0.0000  8 Sb 2.70

# 2
Material: SbTe2PC
Method: DFT, PBE
State: optimized geometry

Summary:
Energy above the most stable polymorph in this dataset, eV/atom: 0.000

a b c (Å): 4.7471 4.7471 4.7664
angles (deg): 90.00 90.00 90.00
Last column: nearest neighbours and their distance in Å.
Element x y z (fractional)
Sb1 0.0000 0.0000 0.0000  2 C 2.38
Te1 0.0000 0.5000 0.5000  2 C 2.37
Te2 0.5000 0.0000 0.5000  2 C 2.37
P1 0.5000 0.5000 0.0000  4 Sb 3.36, 8 Te 3.36
C1 0.0000 0.0000 0.5000  4 Te 2.37, 2 Sb 2.38

# 3
Material: Sb2TePC
Method: DFT, PBE
State: optimized geometry

Summary:
Energy above the most stable polymorph in this dataset, eV/atom: 0.000

a b c (Å): 4.7534 4.7534 4.7418
angles (deg): 90.00 90.00 90.00
Last column: nearest neighbours and their distance in Å.
Element x y z (fractional)
Sb1 0.0000 0.5000 0.0000  2 C 2.38
Sb2 0.5000 0.0000 0.0000  2 C 2.38
Te1 0.0000 0.0000 0.5000  2 C 2.37
P1 0.5000 0.5000 0.5000  8 Sb 3.36, 4 Te 3.36
C1 0.0000 0.0000 0.0000  2 Te 2.37, 4 Sb 2.38

# 4
Material: TlSb2PC
Method: DFT, PBE
State: optimized geometry

a b c (Å): 5.3678 5.3678 3.6938
angles (deg): 90.00 90.00 90.00
Last column: nearest neighbours and their distance in Å.
Element x y z (fractional)
Tl1 0.0000 0.0000 0.0000  8 Sb 3.26
Sb1 0.0000 0.5000 0.5000  2 C 2.68
Sb2 0.5000 0.0000 0.5000  2 C 2.68
P1 0.5000 0.5000 0.0000  2 C 1.85
C1 0.5000 0.5000 0.5000  2 P 1.85

# 5
Material: Tm5Sb2PC
Method: DFT, PBE
State: optimized geometry

a b c (Å): 4.5358 4.5358 10.6663
angles (deg): 90.00 90.00 90.00
Last column: nearest neighbours and their distance in Å.
Element x y z (fractional)
Tm1 0.0000 0.0000 0.0000  2 Sb 3.06, 4 P 3.21
Tm2 0.0000 0.5000 0.5000  2 C 2.27
Tm3 0.5000 0.0000 0.5000  2 C 2.27
Tm4 0.5000 0.5000 0.2526  1 C 2.64, 1 P 2.69
Tm5 0.5000 0.5000 0.7474  1 C 2.64, 1 P 2.69
Sb1 0.0000 0.0000 0.2872  9 Tm 3.06-3.23
Sb2 0.0000 0.0000 0.7128  9 Tm 3.06-3.23
P1 0.5000 0.5000 0.0000  2 Tm 2.69
C1 0.5000 0.5000 0.5000  4 Tm 2.27

# 6
Material: U5Sb2PC
Method: DFT, PBE
State: optimized geometry

a b c (Å): 4.4544 4.4544 10.8282
angles (deg): 90.00 90.00 90.00
Last column: nearest neighbours and their distance in Å.
Element x y z (fractional)
U1 0.0000 0.0000 0.0000  2 Sb 3.11, 4 P 3.15
U2 0.0000 0.5000 0.5000  2 C 2.23
U3 0.5000 0.0000 0.5000  2 C 2.23
U4 0.5000 0.5000 0.2581  1 C 2.62, 1 P 2.79
U5 0.5000 0.5000 0.7419  1 C 2.62, 1 P 2.79
Sb1 0.0000 0.0000 0.2870  9 U 3.11-3.21
Sb2 0.0000 0.0000 0.7130  9 U 3.11-3.21
P1 0.5000 0.5000 0.0000  2 U 2.79
C1 0.5000 0.5000 0.5000  4 U 2.23

# 7
Material: Sc2PC
Method: DFT, PBE
State: optimized geometry

a b c (Å): 6.2107 6.2107 6.2107
angles (deg): 90.00 90.00 90.00
Last column: nearest neighbours and their distance in Å.
Element x y z (fractional)
Sc1 0.2500 0.2500 0.2500  4 C 2.69, 4 P 2.69
Sc2 0.2500 0.2500 0.7500  4 C 2.69, 4 P 2.69
Sc3 0.2500 0.7500 0.2500  4 C 2.69, 4 P 2.69
Sc4 0.2500 0.7500 0.7500  4 C 2.69, 4 P 2.69
Sc5 0.7500 0.2500 0.2500  4 C 2.69, 4 P 2.69
Sc6 0.7500 0.2500 0.7500  4 C 2.69, 4 P 2.69
Sc7 0.7500 0.7500 0.2500  4 C 2.69, 4 P 2.69
Sc8 0.7500 0.7500 0.7500  4 P 2.69, 4 C 2.69
P1 0.0000 0.0000 0.0000  8 Sc 2.69
P2 0.0000 0.5000 0.5000  8 Sc 2.69
P3 0.5000 0.0000 0.5000  8 Sc 2.69
P4 0.5000 0.5000 0.0000  8 Sc 2.69
C1 0.0000 0.0000 0.5000  8 Sc 2.69
C2 0.0000 0.5000 0.0000  8 Sc 2.69
C3 0.5000 0.0000 0.0000  8 Sc 2.69
C4 0.5000 0.5000 0.5000  8 Sc 2.69

# 8
Material: ScP3C
Method: DFT, PBE
State: optimized geometry

Summary:
Energy above the most stable polymorph in this dataset, eV/atom: 0.000

a b c (Å): 4.1318 4.1318 4.1318
angles (deg): 90.00 90.00 90.00
Last column: nearest neighbours and their distance in Å.
Element x y z (fractional)
Sc1 0.0000 0.0000 0.0000  12 P 2.92
P1 0.0000 0.5000 0.5000  2 C 2.07
P2 0.5000 0.0000 0.5000  2 C 2.07
P3 0.5000 0.5000 0.0000  2 C 2.07
C1 0.5000 0.5000 0.5000  6 P 2.07

no.,electronic total energy (eV per cell),V (A^3/atom)
1,-46.058,19.110
2,-18.945,21.482
3,-20.131,21.428
4,-20.751,21.286
5,-52.769,24.383
6,-80.712,23.872
7,-110.676,14.973
8,-29.198,14.107